Material: Mn2SiO
Method: DFT, PBE with a Hubbard U
State: relaxed

Calculated values
ρ, Mg/m³: 4.4
Distance to the lowest polymorph of the same formula, eV/atom: 0.369
E_tot, eV/atom: -5.853
Space-group type: I-42d

Cell: 5.831 5.831 6.856 Å, 90.00 90.00 90.00°
Atoms (fractional coordinates):
Mn  0.179  0.250  0.125
Mn  0.250  0.679  0.375
Mn  0.250  0.821  0.875
Mn  0.321  0.250  0.625
Mn  0.679  0.750  0.625
Mn  0.750  0.179  0.875
Mn  0.750  0.321  0.375
Mn  0.821  0.750  0.125
Si  0.000  0.000  0.500
Si  0.000  0.500  0.750
Si  0.500  0.000  0.250
Si  0.500  0.500  0.000
O  0.000  0.000  0.000
O  0.000  0.500  0.250
O  0.500  0.000  0.750
O  0.500  0.500  0.500